Entry 1:
A plane-wave DFT calculation with GGA-PBE was carried out for a relaxed structure of NaSbI2O.

Computed properties:
Formation energy without anion corrections (eV per atom): -0.3336

Cell: 6.403 6.403 4.047 Å, 90.00 90.00 90.00°
Fractional coordinates of all 5 atoms:
Na 0.000 0.000 0.000
Sb 0.500 0.500 0.000
I 0.000 0.500 0.500
I 0.500 0.000 0.500
O 0.500 0.500 0.500

---

Entry 2:
A plane-wave DFT calculation with GGA-PBE was carried out for a relaxed structure of NaSbI2O.

Computed properties:
Formation energy without anion corrections (eV per atom): -0.7303

Cell: 6.221 6.221 4.155 Å, 90.00 90.00 90.00°
Fractional coordinates of all 5 atoms:
Na 0.000 0.000 0.000
Sb 0.500 0.500 0.500
I 0.000 0.500 0.500
I 0.500 0.000 0.500
O 0.500 0.500 0.000

---

Entry 3:
A plane-wave DFT calculation with GGA-PBE was carried out for a relaxed structure of NaSbI2O.

Computed properties:
Formation energy without anion corrections (eV per atom): 0.9172

Cell: 5.528 5.528 5.843 Å, 90.00 90.00 90.00°
Fractional coordinates of all 5 atoms:
Na 0.000 0.000 0.000
Sb 0.000 0.000 0.500
I 0.000 0.500 0.000
I 0.500 0.000 0.000
O 0.500 0.500 0.500

---

Entry 4:
A plane-wave DFT calculation with GGA-PBE was carried out for a relaxed structure of NaSbI2O.

Computed properties:
Formation energy without anion corrections (eV per atom): 0.1356

Cell: 5.818 5.818 4.227 Å, 90.00 90.00 90.00°
Fractional coordinates of all 5 atoms:
Na 0.000 0.000 0.000
Sb 0.500 0.500 0.500
I 0.000 0.500 0.000
I 0.500 0.000 0.000
O 0.000 0.000 0.500